First-principles (GGA-PBE) data for crystalline FeTc2Pt at its relaxed geometry, as listed in Alexandria via LeMat-Bulk.

abc: 4.673 4.673 4.673
angles: 131.23 131.23 71.45
Atoms (fractional coordinates):
Fe1 0.000 0.000 0.000
Tc1 0.250 0.750 0.500
Tc2 0.500 0.500 0.000
Pt1 0.750 0.250 0.500

Output
- distance to the lowest polymorph of the same formula (eV/atom) = 0.0000